1.
# TaAl2Au | Alexandria | PBE | optimized geometry
data_TaAl2Au
_chemical_formula_sum 'Ta2 Al4 Au2'
_cell_length_a 3.967
_cell_length_b 3.967
_cell_length_c 8.685
_cell_angle_alpha 90.00
_cell_angle_beta 90.00
_cell_angle_gamma 90.00
_symmetry_space_group_name_H-M 'I 4/m m m'
_symmetry_Int_Tables_number 139
_symmetry_space_group_name_Hall '-I 4 2'
loop_
_atom_site_label
_atom_site_type_symbol
_atom_site_fract_x
_atom_site_fract_y
_atom_site_fract_z
Ta1 Ta 0.000 0.000 0.000
Al1 Al 0.000 0.500 0.250
Au1 Au 0.000 0.000 0.500
# - Spin magnetization: 0.0 μB/f.u.
# - Crystal system: tetragonal
# - ΔE_f: -0.06 eV per formula unit

***

2.
# TaAl2Au | Alexandria | PBE | optimized geometry
data_TaAl2Au
_chemical_formula_sum 'Ta3 Al6 Au3'
_cell_length_a 2.9438
_cell_length_b 2.9438
_cell_length_c 27.3522
_cell_angle_alpha 90.00
_cell_angle_beta 90.00
_cell_angle_gamma 120.00
_symmetry_space_group_name_H-M 'R 3 m'
_symmetry_Int_Tables_number 160
_symmetry_space_group_name_Hall 'R 3 -2"'
loop_
_atom_site_label
_atom_site_type_symbol
_atom_site_fract_x
_atom_site_fract_y
_atom_site_fract_z
Ta1 Ta 0.0000 0.0000 0.0000
Al1 Al 0.0000 0.0000 0.2498
Al2 Al 0.0000 0.0000 0.5006
Au1 Au 0.0000 0.0000 0.7554
# - Spin magnetization: 0.0 μB/f.u.
# - Crystal system: trigonal
# - ΔE_f: -0.49 eV per formula unit

***

3.
# TaAl2Au | Alexandria | PBE | optimized geometry
data_TaAl2Au
_chemical_formula_sum 'Ta1 Al2 Au1'
_cell_length_a 2.932
_cell_length_b 4.169
_cell_length_c 5.603
_cell_angle_alpha 90.00
_cell_angle_beta 90.00
_cell_angle_gamma 90.00
_symmetry_space_group_name_H-M 'P m m m'
_symmetry_Int_Tables_number 47
_symmetry_space_group_name_Hall '-P 2 2'
loop_
_atom_site_label
_atom_site_type_symbol
_atom_site_fract_x
_atom_site_fract_y
_atom_site_fract_z
Ta1 Ta 0.000 0.000 0.000
Al1 Al 0.500 0.500 0.235
Au1 Au 0.500 0.000 0.500
# - Spin magnetization: 0.0 μB/f.u.
# - Crystal system: orthorhombic
# - ΔE_f: -0.93 eV per formula unit

***

4.
# Ta2AlAu | Alexandria | PBE | optimized geometry
data_Ta2AlAu
_chemical_formula_sum 'Ta4 Al2 Au2'
_cell_length_a 4.186
_cell_length_b 2.975
_cell_length_c 11.246
_cell_angle_alpha 90.00
_cell_angle_beta 90.00
_cell_angle_gamma 90.00
_symmetry_space_group_name_H-M 'A m m 2'
_symmetry_Int_Tables_number 38
_symmetry_space_group_name_Hall 'A 2 -2'
loop_
_atom_site_label
_atom_site_type_symbol
_atom_site_fract_x
_atom_site_fract_y
_atom_site_fract_z
Ta1 Ta 0.000 0.000 0.000
Ta2 Ta 0.500 0.000 0.361
Al1 Al 0.500 0.000 0.610
Au1 Au 0.000 0.000 0.739
# - Spin magnetization: 0.0 μB/f.u.
# - Crystal system: orthorhombic
# - ΔE_f: -0.57 eV per formula unit

***

5.
# TaAl2Au | Alexandria | PBE | optimized geometry
data_TaAl2Au
_chemical_formula_sum 'Ta4 Al8 Au4'
_cell_length_a 6.501
_cell_length_b 6.501
_cell_length_c 6.501
_cell_angle_alpha 90.00
_cell_angle_beta 90.00
_cell_angle_gamma 90.00
_symmetry_space_group_name_H-M 'F -4 3 m'
_symmetry_Int_Tables_number 216
_symmetry_space_group_name_Hall 'F -4 2 3'
loop_
_atom_site_label
_atom_site_type_symbol
_atom_site_fract_x
_atom_site_fract_y
_atom_site_fract_z
Ta1 Ta 0.000 0.000 0.000
Al1 Al 0.000 0.000 0.500
Al2 Al 0.250 0.250 0.250
Au1 Au 0.250 0.250 0.750
# - Spin magnetization: 1.6 μB/f.u.
# - Crystal system: cubic
# - ΔE_f: 0.65 eV per formula unit

***

6.
# TaAl2Au | Alexandria | PBE | optimized geometry
data_TaAl2Au
_chemical_formula_sum 'Ta1 Al2 Au1'
_cell_length_a 2.858
_cell_length_b 2.858
_cell_length_c 8.302
_cell_angle_alpha 90.00
_cell_angle_beta 90.00
_cell_angle_gamma 90.00
_symmetry_space_group_name_H-M 'P 4 m m'
_symmetry_Int_Tables_number 99
_symmetry_space_group_name_Hall 'P 4 -2'
loop_
_atom_site_label
_atom_site_type_symbol
_atom_site_fract_x
_atom_site_fract_y
_atom_site_fract_z
Ta1 Ta 0.000 0.000 0.000
Al1 Al 0.000 0.000 0.493
Al2 Al 0.500 0.500 0.241
Au1 Au 0.500 0.500 0.737
# - Spin magnetization: 0.0 μB/f.u.
# - Crystal system: tetragonal
# - ΔE_f: -0.44 eV per formula unit

***

7.
# Ta2AlAu | Alexandria | PBE | optimized geometry
data_Ta2AlAu
_chemical_formula_sum 'Ta2 Al1 Au1'
_cell_length_a 2.874
_cell_length_b 2.874
_cell_length_c 8.397
_cell_angle_alpha 90.00
_cell_angle_beta 90.00
_cell_angle_gamma 90.00
_symmetry_space_group_name_H-M 'P 4 m m'
_symmetry_Int_Tables_number 99
_symmetry_space_group_name_Hall 'P 4 -2'
loop_
_atom_site_label
_atom_site_type_symbol
_atom_site_fract_x
_atom_site_fract_y
_atom_site_fract_z
Ta1 Ta 0.000 0.000 0.000
Ta2 Ta 0.500 0.500 0.272
Al1 Al 0.000 0.000 0.513
Au1 Au 0.500 0.500 0.743
# - Spin magnetization: 0.0 μB/f.u.
# - Crystal system: tetragonal
# - ΔE_f: -0.62 eV per formula unit

***

8.
# TaAl2Au | Alexandria | PBE | optimized geometry
data_TaAl2Au
_chemical_formula_sum 'Ta2 Al4 Au2'
_cell_length_a 10.191
_cell_length_b 2.913
_cell_length_c 4.852
_cell_angle_alpha 90.00
_cell_angle_beta 110.93
_cell_angle_gamma 90.00
_symmetry_space_group_name_H-M 'C 1 m 1'
_symmetry_Int_Tables_number 8
_symmetry_space_group_name_Hall 'C -2y'
loop_
_atom_site_label
_atom_site_type_symbol
_atom_site_fract_x
_atom_site_fract_y
_atom_site_fract_z
Ta1 Ta 0.000 0.000 0.000
Al1 Al 0.003 0.500 0.513
Al2 Al 0.253 0.000 0.903
Au1 Au 0.254 0.500 0.410
# - Spin magnetization: 0.0 μB/f.u.
# - Crystal system: monoclinic
# - ΔE_f: -0.90 eV per formula unit

***

9.
# TaAl2Au | Alexandria | PBE | optimized geometry
data_TaAl2Au
_chemical_formula_sum 'Ta4 Al8 Au4'
_cell_length_a 6.411
_cell_length_b 6.411
_cell_length_c 6.411
_cell_angle_alpha 90.00
_cell_angle_beta 90.00
_cell_angle_gamma 90.00
_symmetry_space_group_name_H-M 'F m -3 m'
_symmetry_Int_Tables_number 225
_symmetry_space_group_name_Hall '-F 4 2 3'
loop_
_atom_site_label
_atom_site_type_symbol
_atom_site_fract_x
_atom_site_fract_y
_atom_site_fract_z
Ta1 Ta 0.000 0.000 0.000
Al1 Al 0.250 0.250 0.250
Au1 Au 0.000 0.000 0.500
# - Spin magnetization: 0.0 μB/f.u.
# - Crystal system: cubic
# - ΔE_f: 0.05 eV per formula unit

***

10.
# TaAlAu4 | Alexandria | PBE | optimized geometry
data_TaAlAu4
_chemical_formula_sum 'Ta4 Al4 Au16'
_cell_length_a 7.677
_cell_length_b 7.677
_cell_length_c 7.677
_cell_angle_alpha 90.00
_cell_angle_beta 90.00
_cell_angle_gamma 90.00
_symmetry_space_group_name_H-M 'F -4 3 m'
_symmetry_Int_Tables_number 216
_symmetry_space_group_name_Hall 'F -4 2 3'
loop_
_atom_site_label
_atom_site_type_symbol
_atom_site_fract_x
_atom_site_fract_y
_atom_site_fract_z
Ta1 Ta 0.000 0.000 0.000
Al1 Al 0.250 0.250 0.750
Au1 Au 0.125 0.125 0.375
# - Spin magnetization: 1.7 μB/f.u.
# - Crystal system: cubic
# - ΔE_f: 2.34 eV per formula unit

***

11.
# Ta2AlAu | Alexandria | PBE | optimized geometry
data_Ta2AlAu
_chemical_formula_sum 'Ta2 Al1 Au1'
_cell_length_a 3.442
_cell_length_b 3.442
_cell_length_c 5.955
_cell_angle_alpha 90.00
_cell_angle_beta 90.00
_cell_angle_gamma 90.00
_symmetry_space_group_name_H-M 'P 4 m m'
_symmetry_Int_Tables_number 99
_symmetry_space_group_name_Hall 'P 4 -2'
loop_
_atom_site_label
_atom_site_type_symbol
_atom_site_fract_x
_atom_site_fract_y
_atom_site_fract_z
Ta1 Ta 0.000 0.000 0.000
Ta2 Ta 0.500 0.500 0.221
Al1 Al 0.000 0.000 0.476
Au1 Au 0.500 0.500 0.706
# - Spin magnetization: 0.0 μB/f.u.
# - Crystal system: tetragonal
# - ΔE_f: -0.40 eV per formula unit

***

12.
# Ta2AlAu | Alexandria | PBE | optimized geometry
data_Ta2AlAu
_chemical_formula_sum 'Ta4 Al2 Au2'
_cell_length_a 5.548
_cell_length_b 8.570
_cell_length_c 2.901
_cell_angle_alpha 90.00
_cell_angle_beta 90.00
_cell_angle_gamma 90.00
_symmetry_space_group_name_H-M 'C m m m'
_symmetry_Int_Tables_number 65
_symmetry_space_group_name_Hall '-C 2 2'
loop_
_atom_site_label
_atom_site_type_symbol
_atom_site_fract_x
_atom_site_fract_y
_atom_site_fract_z
Ta1 Ta 0.250 0.250 0.000
Al1 Al 0.000 0.000 0.500
Au1 Au 0.000 0.500 0.500
# - Spin magnetization: 0.0 μB/f.u.
# - Crystal system: orthorhombic
# - ΔE_f: -0.59 eV per formula unit